Material: HoMg2Pd3
Method: DFT, PBE
State: optimized geometry

Geometry as POSCAR:
```
HoMg2Pd3
1.0
4.709 0.000 0.000
0.000 6.510 0.000
-2.307 0.000 7.050
Ho Mg Pd
2 4 6
direct
0.161 0.000 0.322 Ho
0.839 0.000 0.678 Ho
0.172 0.500 0.343 Mg
0.500 0.000 0.000 Mg
0.500 0.500 0.000 Mg
0.828 0.500 0.657 Mg
0.000 0.272 0.000 Pd
0.000 0.728 0.000 Pd
0.336 0.262 0.672 Pd
0.336 0.738 0.672 Pd
0.664 0.262 0.328 Pd
0.664 0.738 0.328 Pd
```

Values from the calculation:
Distance to the lowest polymorph of the same formula, eV/f.u.: 0.000
Calculated formation energy, meV per atom: -785
Total magnetization, μB per formula unit: 0.00